Entry 1:
ZrScTe2Ru: optimized geometry, PBE.

Volume   130.7 Å³ per cell
Magnetic moment   0.02 Bohr magnetons per cell
SG   P4/mmm (123)
Formation energy (no corrections)   44.9 kJ/mol of atoms

```
ZrScTe2Ru
1.0
5.364 0.000 0.000
0.000 5.364 0.000
0.000 0.000 4.542
Zr Sc Te Ru
1 1 2 1
direct
0.000 0.000 0.000 Zr
0.500 0.500 0.500 Sc
0.000 0.500 0.500 Te
0.500 0.000 0.500 Te
0.500 0.500 0.000 Ru
```

Entry 2:
Th2ScRu: optimized geometry, PBE.

Volume   102.3 Å³ per cell
Magnetic moment   0.00 Bohr magnetons per cell
Formation energy from the elements   -0.400 eV/f.u.
SG   P4/mmm (123)
Offset from the most stable computed form   0 kJ/mol of formula units

```
Th2ScRu
1.0
3.677 0.000 0.000
0.000 3.677 0.000
0.000 0.000 7.570
Th Sc Ru
2 1 1
direct
0.000 0.000 0.213 Th
0.000 0.000 0.787 Th
0.500 0.500 0.500 Sc
0.500 0.500 0.000 Ru
```

Entry 3:
ThSc2Ru: optimized geometry, PBE.

Volume   381.3 Å³ per cell
Magnetic moment   0.00 Bohr magnetons per cell
Formation energy from the elements   -1.451 eV/f.u.
SG   Pnma (62)
Offset from the most stable computed form   0 kJ/mol of formula units

```
ThSc2Ru
1.0
7.094 0.000 0.000
0.000 8.910 0.000
0.000 0.000 6.033
Th Sc Ru
4 8 4
direct
0.041 0.250 0.138 Th
0.459 0.750 0.638 Th
0.541 0.250 0.362 Th
0.959 0.750 0.862 Th
0.174 0.066 0.657 Sc
0.174 0.434 0.657 Sc
0.326 0.566 0.157 Sc
0.326 0.934 0.157 Sc
0.674 0.066 0.843 Sc
0.674 0.434 0.843 Sc
0.826 0.566 0.343 Sc
0.826 0.934 0.343 Sc
0.130 0.750 0.442 Ru
0.370 0.250 0.942 Ru
0.630 0.750 0.058 Ru
0.870 0.250 0.558 Ru
```

Entry 4:
ThSc2Ru3: optimized geometry, PBE.

Volume   110.6 Å³ per cell
Magnetic moment   0.00 Bohr magnetons per cell
Formation energy from the elements   -3.344 eV/f.u.
SG   P-3m1 (164)

```
ThSc2Ru3
1.0
4.696 0.000 0.000
-2.348 4.067 0.000
0.000 0.000 5.790
Th Sc Ru
1 2 3
direct
0.000 0.000 0.000 Th
0.333 0.667 0.648 Sc
0.667 0.333 0.352 Sc
0.000 0.000 0.500 Ru
0.333 0.667 0.170 Ru
0.667 0.333 0.830 Ru
```

Entry 5:
ThSc3Ru4: optimized geometry, PBE.

Volume   142.7 Å³ per cell
Magnetic moment   0.00 Bohr magnetons per cell
Formation energy from the elements   -4.719 eV/f.u.
SG   R-3m (166)

```
ThSc3Ru4
1.0
2.325 1.343 7.621
-2.325 1.343 7.621
0.000 -2.685 7.621
Th Sc Ru
1 3 4
direct
0.000 0.000 0.000 Th
0.243 0.243 0.243 Sc
0.500 0.500 0.500 Sc
0.757 0.757 0.757 Sc
0.125 0.125 0.125 Ru
0.376 0.376 0.376 Ru
0.624 0.624 0.624 Ru
0.875 0.875 0.875 Ru
```

Entry 6:
ThSc2Ru: optimized geometry, PBE.

Volume   90.2 Å³ per cell
Magnetic moment   0.00 Bohr magnetons per cell
Formation energy from the elements   -1.265 eV/f.u.
SG   P4/mmm (123)
Offset from the most stable computed form   18 kJ/mol of formula units

```
ThSc2Ru
1.0
3.293 0.000 0.000
0.000 3.293 0.000
0.000 0.000 8.317
Th Sc Ru
1 2 1
direct
0.000 0.000 0.000 Th
0.500 0.500 0.318 Sc
0.500 0.500 0.682 Sc
0.000 0.000 0.500 Ru
```

Entry 7:
ThScRu2: optimized geometry, PBE.

Volume   78.4 Å³ per cell
Magnetic moment   0.00 Bohr magnetons per cell
Formation energy from the elements   -1.966 eV/f.u.
SG   P4/mmm (123)

```
ThScRu2
1.0
4.779 0.000 0.000
0.000 4.779 0.000
0.000 0.000 3.432
Th Sc Ru
1 1 2
direct
0.000 0.000 0.000 Th
0.500 0.500 0.000 Sc
0.000 0.500 0.500 Ru
0.500 0.000 0.500 Ru
```

Entry 8:
Th2ScRu: optimized geometry, PBE.

Volume   365.2 Å³ per cell
Magnetic moment   0.00 Bohr magnetons per cell
Formation energy from the elements   0.732 eV/f.u.
SG   R-3m (166)
Offset from the most stable computed form   109 kJ/mol of formula units

```
Th2ScRu
1.0
3.758 0.000 0.000
-1.879 3.255 0.000
0.000 0.000 29.857
Th Sc Ru
6 3 3
direct
0.000 0.000 0.108 Th
0.000 0.000 0.892 Th
0.333 0.667 0.558 Th
0.333 0.667 0.775 Th
0.667 0.333 0.225 Th
0.667 0.333 0.442 Th
0.000 0.000 0.000 Sc
0.333 0.667 0.667 Sc
0.667 0.333 0.333 Sc
0.000 0.000 0.500 Ru
0.333 0.667 0.167 Ru
0.667 0.333 0.833 Ru
```

Entry 9:
Th2Sc3Ru2: optimized geometry, PBE.

Volume   329.8 Å³ per cell
Magnetic moment   0.00 Bohr magnetons per cell
Formation energy from the elements   -2.552 eV/f.u.
SG   C2/m (12)

```
Th2Sc3Ru2
1.0
11.457 0.000 0.000
0.000 3.801 0.000
-3.320 0.000 7.575
Th Sc Ru
4 6 4
direct
0.149 0.000 0.288 Th
0.351 0.500 0.712 Th
0.649 0.500 0.288 Th
0.851 0.000 0.712 Th
0.000 0.500 0.500 Sc
0.126 0.500 0.919 Sc
0.374 0.000 0.081 Sc
0.500 0.000 0.500 Sc
0.626 0.000 0.919 Sc
0.874 0.500 0.081 Sc
0.181 0.000 0.715 Ru
0.319 0.500 0.285 Ru
0.681 0.500 0.715 Ru
0.819 0.000 0.285 Ru
```

Entry 10:
ThScRu4: optimized geometry, PBE.

Volume   107.1 Å³ per cell
Magnetic moment   0.00 Bohr magnetons per cell
Formation energy from the elements   -1.793 eV/f.u.
SG   F-43m (216)

```
ThScRu4
1.0
0.000 3.769 3.769
3.769 0.000 3.769
3.769 3.769 0.000
Th Sc Ru
1 1 4
direct
0.000 0.000 0.000 Th
0.250 0.250 0.250 Sc
0.127 0.624 0.624 Ru
0.624 0.127 0.624 Ru
0.624 0.624 0.127 Ru
0.624 0.624 0.624 Ru
```

Entry 11:
ThSc5Ru2: optimized geometry, PBE.

Volume   356.6 Å³ per cell
Magnetic moment   0.00 Bohr magnetons per cell
Formation energy from the elements   -1.983 eV/f.u.
SG   Immm (71)

```
ThSc5Ru2
1.0
4.049 0.000 0.000
0.000 8.621 0.000
0.000 0.000 10.216
Th Sc Ru
2 10 4
direct
0.000 0.000 0.000 Th
0.500 0.500 0.500 Th
0.000 0.182 0.341 Sc
0.000 0.182 0.659 Sc
0.000 0.500 0.000 Sc
0.000 0.818 0.341 Sc
0.000 0.818 0.659 Sc
0.500 0.000 0.500 Sc
0.500 0.318 0.159 Sc
0.500 0.318 0.841 Sc
0.500 0.682 0.159 Sc
0.500 0.682 0.841 Sc
0.000 0.500 0.282 Ru
0.000 0.500 0.718 Ru
0.500 0.000 0.218 Ru
0.500 0.000 0.782 Ru
```

Entry 12:
Th2ScRu2: optimized geometry, PBE.

Volume   458.1 Å³ per cell
Magnetic moment   0.00 Bohr magnetons per cell
Formation energy from the elements   -2.245 eV/f.u.
SG   P2_1/c (14)

```
Th2ScRu2
1.0
9.391 0.000 0.000
0.000 7.455 0.000
-1.998 0.000 6.544
Th Sc Ru
8 4 8
direct
0.077 0.222 0.023 Th
0.077 0.278 0.523 Th
0.275 0.619 0.250 Th
0.275 0.881 0.750 Th
0.725 0.119 0.250 Th
0.725 0.381 0.750 Th
0.923 0.722 0.477 Th
0.923 0.778 0.977 Th
0.421 0.192 0.458 Sc
0.421 0.308 0.958 Sc
0.579 0.692 0.042 Sc
0.579 0.808 0.542 Sc
0.145 0.532 0.814 Ru
0.145 0.968 0.314 Ru
0.408 0.536 0.649 Ru
0.408 0.964 0.149 Ru
0.592 0.036 0.851 Ru
0.592 0.464 0.351 Ru
0.855 0.032 0.686 Ru
0.855 0.468 0.186 Ru
```